The following is a DFT calculation (PBE-GGA) of a relaxed BeZnI5 crystal.

Output
**Volume**: 1651.5 Å³ per cell
**Raw total energy**: -14.6 eV/f.u.
**E_form (uncorrected)**: -0.259 eV/atom
**Space group**: No. 62

Cell: 7.468 12.865 17.189 Å, 90.00 90.00 90.00°
Last column: magnetic moment on the atom in μB.
Fractional coordinates of all 28 atoms:
Be 0.750 0.148 0.947  0.00
Be 0.250 0.852 0.053  0.00
Be 0.750 0.352 0.447  0.00
Be 0.250 0.648 0.553  0.00
Zn 0.750 0.956 0.159  0.00
Zn 0.250 0.044 0.841  0.00
Zn 0.750 0.544 0.659  0.00
Zn 0.250 0.456 0.341  0.00
I 0.750 0.363 0.582  0.00
I 0.250 0.637 0.418  0.00
I 0.750 0.137 0.082  0.00
I 0.250 0.863 0.918  0.00
I 0.750 0.996 0.303  0.09
I 0.250 0.004 0.697  0.09
I 0.750 0.504 0.803  0.09
I 0.250 0.496 0.197  0.09
I 0.499 0.311 0.376  0.00
I 0.999 0.689 0.624  0.00
I 0.501 0.689 0.624  0.00
I 0.001 0.311 0.376  0.00
I 0.501 0.811 0.124  0.00
I 0.001 0.189 0.876  0.00
I 0.499 0.189 0.876  0.00
I 0.999 0.811 0.124  0.00
I 0.500 0.000 0.500  0.15
I 0.000 0.000 0.500  0.15
I 0.500 0.500 0.000  0.15
I 0.000 0.500 0.000  0.15

---

The following is a DFT calculation (PBE-GGA) of a relaxed Be3ZnI crystal.

Output
**Volume**: 87.6 Å³ per cell
**Raw total energy**: -9.4 eV/f.u.
**E_form (uncorrected)**: 0.927 eV/atom
**Space group**: No. 221
**Energy above the lowest structure with this stoichiometry**: 0 meV/atom

Cell: 4.441 4.441 4.441 Å, 90.00 90.00 90.00°
Fractional coordinates of all 5 atoms:
I 0.500 0.500 0.500
Be 0.000 0.500 0.000
Be 0.000 0.000 0.500
Be 0.500 0.000 0.000
Zn 0.000 0.000 0.000

---

The following is a DFT calculation (PBE-GGA) of a relaxed Be2ZnI6 crystal.

Output
**Volume**: 680.9 Å³ per cell
**Raw total energy**: -22.9 eV/f.u.
**E_form (uncorrected)**: -0.538 eV/atom
**Space group**: No. 15

Cell: 6.867 10.460 10.460 Å, 91.97 107.04 107.04°
Fractional coordinates of all 18 atoms:
Be 0.155 0.353 0.199
Be 0.345 0.801 0.647
Be 0.845 0.647 0.801
Be 0.655 0.199 0.353
Zn 0.250 0.783 0.217
Zn 0.750 0.217 0.783
I 0.347 0.252 0.381
I 0.153 0.619 0.748
I 0.653 0.748 0.619
I 0.847 0.381 0.252
I 0.888 0.187 0.577
I 0.612 0.423 0.813
I 0.112 0.813 0.423
I 0.388 0.577 0.187
I 0.082 0.211 0.992
I 0.418 0.008 0.789
I 0.918 0.789 0.008
I 0.582 0.992 0.211

---

The following is a DFT calculation (PBE-GGA) of a relaxed BeZn3I crystal.

Output
**Volume**: 230.0 Å³ per cell
**Raw total energy**: -2.7 eV/f.u.
**E_form (uncorrected)**: 1.286 eV/atom
**Space group**: No. 221
**Energy above the lowest structure with this stoichiometry**: 997 meV/atom

Cell: 6.127 6.127 6.127 Å, 90.00 90.00 90.00°
Fractional coordinates of all 5 atoms:
I 0.000 0.000 0.000
Be 0.500 0.500 0.500
Zn 0.000 0.500 0.000
Zn 0.000 0.000 0.500
Zn 0.500 0.000 0.000